The following is a PBE with a Hubbard U calculation of MgWN2O after structural relaxation, from Alexandria.

Cell lengths 3.9911, 3.9911, 3.8861 Å; angles 90.00, 90.00, 90.00 degrees
With the nearest neighbours (Å) after each atom.
Fractional positions:
Mg1 0.5000 0.5000 0.5000  8 N 2.79, 4 O 2.82
O1 0.0000 0.0000 0.5000  2 W 1.94
W1 0.0000 0.0000 0.0000  2 O 1.94, 4 N 2.00
N1 0.0000 0.5000 0.0000  2 W 2.00
N2 0.5000 0.0000 0.0000  2 W 2.00

Total DFT energy (no corrections), eV/atom: -6.63
N(E_F), states/eV per cell: 1.3
Crystal system: tetragonal